Below is a relaxed TbSc2Pb crystal, with properties calculated at the PBE level.

Calculated values
ΔE to the lowest computed polymorph (eV/atom): 0.0000
ΔH_f (0 K) (meV/atom): -334

Lattice parameters (Å, degrees): 4.4400 21.4665 4.5297 90.00 90.00 90.00
Space group Cmcm (No. 63)
Inequivalent atoms, fractional coordinates:
Tb: 0.0000 0.1888 0.2500 (multiplicity 4)
Sc: 0.0000 0.0534 0.7500 (multiplicity 4)
Sc: 0.0000 0.4405 0.7500 (multiplicity 4)
Pb: 0.0000 0.3392 0.2500 (multiplicity 4)

Below is a relaxed Ac2As3Rh6 crystal, with properties calculated at the PBE level.

Calculated values
ΔH_f (0 K) (meV/atom): -672

Lattice parameters (Å, degrees): 7.3874 7.3874 4.4828 90.00 90.00 120.00
Space group P-62m (No. 189)
Inequivalent atoms, fractional coordinates:
Ac: 0.3333 0.6667 0.0000 (multiplicity 2)
As: 0.0000 0.3759 0.5000 (multiplicity 3)
Rh: 0.0000 0.2124 0.0000 (multiplicity 3)
Rh: 0.0000 0.7284 0.5000 (multiplicity 3)

Below is a relaxed Tb2Ho5Th4 crystal, with properties calculated at the PBE level.

Calculated values
ΔE to the lowest computed polymorph (eV/atom): 0.0000
ΔH_f (0 K) (meV/atom): 63

Lattice parameters (Å, degrees): 17.3523 3.4962 11.5908 90.00 96.45 90.00
Space group C2/m (No. 12)
Inequivalent atoms, fractional coordinates:
Tb: 0.1356 0.0000 0.3243 (multiplicity 4)
Ho: 0.0000 0.0000 0.5000 (multiplicity 2)
Ho: 0.0411 0.5000 0.7847 (multiplicity 4)
Ho: 0.0934 0.0000 0.0466 (multiplicity 4)
Th: 0.1800 0.5000 0.5856 (multiplicity 4)
Th: 0.2326 0.0000 0.8584 (multiplicity 4)

Below is a relaxed K4Hg2GeAs2 crystal, with properties calculated at the PBE level.

Calculated values
ΔH_f (0 K) (meV/atom): -204

Lattice parameters (Å, degrees): 14.2807 8.6895 5.5174 90.00 105.23 90.00
Space group C2/m (No. 12)
Inequivalent atoms, fractional coordinates:
K: 0.1442 0.2354 0.1851 (multiplicity 8)
Hg: 0.1064 0.5000 0.6711 (multiplicity 4)
Ge: 0.0000 0.0000 0.5000 (multiplicity 2)
As: 0.1655 0.0000 0.7002 (multiplicity 4)

Below is a relaxed Dy2PuGe2Rh5 crystal, with properties calculated at the PBE level.

Calculated values
ΔH_f (0 K) (meV/atom): -759

Lattice parameters (Å, degrees): 9.8861 9.8861 3.7097 90.00 90.00 90.00
Space group P4/mbm (No. 127)
Inequivalent atoms, fractional coordinates:
Dy: 0.1718 0.3282 0.0000 (multiplicity 4)
Pu: 0.0000 0.0000 0.0000 (multiplicity 2)
Ge: 0.1247 0.6247 0.0000 (multiplicity 4)
Rh: 0.0000 0.5000 0.5000 (multiplicity 2)
Rh: 0.0689 0.7869 0.5000 (multiplicity 8)

Below is a relaxed Nd8Sm crystal, with properties calculated at the PBE level.

Calculated values
ΔH_f (0 K) (meV/atom): 12

Lattice parameters (Å, degrees): 11.0294 11.0294 5.2000 90.00 90.00 90.00
Space group I4/mmm (No. 139)
Inequivalent atoms, fractional coordinates:
Nd: 0.0000 0.3331 0.0000 (multiplicity 8)
Nd: 0.1663 0.1663 0.5000 (multiplicity 8)
Sm: 0.0000 0.0000 0.0000 (multiplicity 2)

Below is a relaxed AsOsRu2 crystal, with properties calculated at the PBE level.

Calculated values
ΔH_f (0 K) (meV/atom): 309

Lattice parameters (Å, degrees): 2.8411 3.8475 5.4079 90.00 90.00 90.00
Space group Pmm2 (No. 25)
Inequivalent atoms, fractional coordinates:
As: 0.0000 0.0000 0.0000 (multiplicity 1)
Os: 0.5000 0.5000 0.3190 (multiplicity 1)
Ru: 0.0000 0.0000 0.4961 (multiplicity 1)
Ru: 0.5000 0.5000 0.8217 (multiplicity 1)

Below is a relaxed KCaPrSbO6 crystal, with properties calculated at the PBE level.

Calculated values
Uncorrected formation energy (eV/f.u.): -20.416

Lattice parameters (Å, degrees): 8.3868 8.3868 8.3868 90.00 90.00 90.00
Space group F-43m (No. 216)
Inequivalent atoms, fractional coordinates:
K: 0.0000 0.0000 0.0000 (multiplicity 4)
Ca: 0.2500 0.2500 0.2500 (multiplicity 4)
Pr: 0.0000 0.0000 0.5000 (multiplicity 4)
Sb: 0.2500 0.2500 0.7500 (multiplicity 4)
O: 0.0143 0.2500 0.7500 (multiplicity 24)

Energy? In order: -5.58, -6.70, -5.56, -2.31, -7.71, -4.75, -8.30, -6.22 eV per atom.